(a)
This record from the Open Quantum Materials Database describes an optimized crystal structure of LiAgPO. The functional is GGA-PBE.

Cell and atoms, written as POSCAR:
```
LiAgPO
1.0
4.075 0.000 0.000
0.000 7.839 0.000
0.000 0.000 3.727
Li Ag P O
2 2 2 2
Cartesian
0.000 0.856 0.000 Li
0.000 6.983 1.863 Li
2.037 1.388 1.857 Ag
2.037 6.451 3.721 Ag
2.037 3.315 3.720 P
2.037 4.524 1.857 P
0.000 1.088 1.859 O
0.000 6.751 3.722 O
```

Calculated values
As for the space-group type: Pmc2_1 (26).

(b)
This record from the Open Quantum Materials Database describes an optimized crystal structure of LiAgPO. The functional is GGA-PBE.

Cell and atoms, written as POSCAR:
```
LiAgPO
1.0
3.983 0.000 0.000
0.000 3.983 0.000
0.000 0.000 6.578
Li Ag P O
2 2 2 2
Cartesian
0.996 0.996 0.709 Li
2.987 2.987 5.869 Li
0.996 2.987 3.289 Ag
2.987 0.996 3.289 Ag
0.996 0.996 4.904 P
2.987 2.987 1.674 P
0.996 2.987 0.000 O
2.987 0.996 0.000 O
```

Calculated values
As for the space-group type: P4/nmm (129).

(c)
This record from the Open Quantum Materials Database describes an optimized crystal structure of LiAgPO. The functional is GGA-PBE.

Cell and atoms, written as POSCAR:
```
LiAgPO
1.0
4.447 0.000 0.000
0.000 4.447 0.000
0.000 0.000 5.172
Li Ag P O
2 2 2 2
Cartesian
1.112 3.335 0.000 Li
3.335 1.112 0.000 Li
1.112 1.112 1.314 Ag
3.335 3.335 3.858 Ag
1.112 1.112 3.811 P
3.335 3.335 1.362 P
1.112 3.335 2.586 O
3.335 1.112 2.586 O
```

Calculated values
As for the space-group type: P4/nmm (129).

What should be chosen as the least stable of them? Choose (c).

(a)
This record from the Open Quantum Materials Database describes an optimized crystal structure of LiAgPO. The functional is GGA-PBE.

Cell and atoms, written as POSCAR:
```
LiAgPO
1.0
3.734 0.000 0.000
0.000 3.734 0.000
0.000 0.000 8.275
Li Ag P O
2 2 2 2
Cartesian
0.933 2.800 0.000 Li
2.800 0.933 0.000 Li
0.933 0.933 1.880 Ag
2.800 2.800 6.395 Ag
0.933 0.933 5.113 P
2.800 2.800 3.162 P
0.933 2.800 4.137 O
2.800 0.933 4.137 O
```

Calculated values
As for the space-group type: P4/nmm (129).

(b)
This record from the Open Quantum Materials Database describes an optimized crystal structure of LiAgPO. The functional is GGA-PBE.

Cell and atoms, written as POSCAR:
```
LiAgPO
1.0
4.482 0.000 0.000
0.000 3.598 0.000
0.000 0.000 6.767
Li Ag P O
2 2 2 2
Cartesian
1.121 0.000 1.213 Li
3.362 0.000 5.554 Li
1.121 1.799 5.407 Ag
3.362 1.799 1.360 Ag
1.121 0.000 3.730 P
3.362 0.000 3.037 P
1.121 1.799 0.834 O
3.362 1.799 5.933 O
```

Calculated values
As for the space-group type: Pmma (51).

What should be chosen as the least stable of them? Choose (a).

(a)
This record from the Open Quantum Materials Database describes an optimized crystal structure of LiPaAg. The functional is GGA-PBE.

Cell and atoms, written as POSCAR:
```
LiPaAg
1.0
0.000 3.352 3.352
3.352 0.000 3.352
3.352 3.352 0.000
Li Pa Ag
1 1 1
Cartesian
0.000 0.000 0.000 Li
3.352 3.352 3.352 Pa
1.676 1.676 1.676 Ag
```

Calculated values
The total magnetic moment is 1.23 Bohr magnetons per cell. As for the space-group type: F-43m (216).

(b)
This record from the Open Quantum Materials Database describes an optimized crystal structure of LiPaAg. The functional is GGA-PBE.

Cell and atoms, written as POSCAR:
```
LiPaAg
1.0
0.000 3.392 3.392
3.392 0.000 3.392
3.392 3.392 0.000
Li Pa Ag
1 1 1
Cartesian
0.000 0.000 0.000 Li
5.088 5.088 5.088 Pa
3.392 3.392 3.392 Ag
```

Calculated values
The total magnetic moment is 1.02 Bohr magnetons per cell. As for the space-group type: F-43m (216).

What should be chosen as the least stable of them? Choose (b).

(a)
This record from the Open Quantum Materials Database describes an optimized crystal structure of LiSiAgPd. The functional is GGA-PBE.

Cell and atoms, written as POSCAR:
```
LiSiAgPd
1.0
0.000 3.048 3.048
3.048 0.000 3.048
3.048 3.048 0.000
Li Si Ag Pd
1 1 1 1
Cartesian
0.000 0.000 0.000 Li
3.048 3.048 3.048 Si
1.524 1.524 1.524 Ag
4.572 4.572 4.572 Pd
```

Calculated values
As for the space-group type: F-43m (216).

(b)
This record from the Open Quantum Materials Database describes an optimized crystal structure of LiSiAgPd. The functional is GGA-PBE.

Cell and atoms, written as POSCAR:
```
LiSiAgPd
1.0
0.000 3.093 3.093
3.093 0.000 3.093
3.093 3.093 0.000
Li Si Ag Pd
1 1 1 1
Cartesian
0.000 0.000 0.000 Li
4.640 4.640 4.640 Si
1.547 1.547 1.547 Ag
3.093 3.093 3.093 Pd
```

Calculated values
As for the space-group type: F-43m (216).

What should be chosen as the least stable of them? Choose (b).

(a)
This record from the Open Quantum Materials Database describes an optimized crystal structure of LiAgPtW. The functional is GGA-PBE.

Cell and atoms, written as POSCAR:
```
LiAgPtW
1.0
0.000 3.110 3.110
3.110 0.000 3.110
3.110 3.110 0.000
Li Ag Pt W
1 1 1 1
Cartesian
0.000 0.000 0.000 Li
1.555 1.555 1.555 Ag
3.110 3.110 3.110 Pt
4.666 4.666 4.666 W
```

Calculated values
The total magnetic moment is 0.00 Bohr magnetons per cell. As for the space-group type: F-43m (216).

(b)
This record from the Open Quantum Materials Database describes an optimized crystal structure of LiAgPtW. The functional is GGA-PBE.

Cell and atoms, written as POSCAR:
```
LiAgPtW
1.0
0.000 3.135 3.135
3.135 0.000 3.135
3.135 3.135 0.000
Li Ag Pt W
1 1 1 1
Cartesian
0.000 0.000 0.000 Li
4.702 4.702 4.702 Ag
1.567 1.567 1.567 Pt
3.135 3.135 3.135 W
```

Calculated values
The total magnetic moment is 0.00 Bohr magnetons per cell. As for the space-group type: F-43m (216).

What should be chosen as the least stable of them? Choose (b).

(a)
This record from the Open Quantum Materials Database describes an optimized crystal structure of LiTbAg3S4. The functional is GGA-PBE.

Cell and atoms, written as POSCAR:
```
LiTbAg3S4
1.0
6.349 0.000 0.000
0.000 7.901 0.000
-1.620 0.000 9.140
Li Tb Ag S
2 2 6 8
Cartesian
1.132 1.975 1.971 Li
3.597 5.926 7.169 Li
0.547 1.975 6.532 Tb
4.181 5.926 2.608 Tb
1.128 5.926 1.667 Ag
0.792 4.474 4.302 Ag
0.792 7.378 4.302 Ag
3.936 0.523 4.838 Ag
3.936 3.428 4.838 Ag
3.601 1.975 7.473 Ag
-0.505 1.975 4.033 S
-0.762 1.975 8.754 S
2.510 0.026 2.532 S
2.510 3.925 2.532 S
2.218 3.977 6.608 S
2.218 7.875 6.608 S
5.491 5.926 0.386 S
5.233 5.926 5.107 S
```

Calculated values
The total magnetic moment is 1.18 Bohr magnetons per cell. As for the space-group type: P2_1/m (11).

(b)
This record from the Open Quantum Materials Database describes an optimized crystal structure of LiTbAg3S4. The functional is GGA-PBE.

Cell and atoms, written as POSCAR:
```
LiTbAg3S4
1.0
6.030 0.000 0.000
0.000 6.030 0.000
0.000 0.000 6.030
Li Tb Ag S
1 1 3 4
Cartesian
0.000 0.000 0.000 Li
3.015 3.015 3.015 Tb
0.000 3.015 3.015 Ag
3.015 0.000 3.015 Ag
3.015 3.015 0.000 Ag
1.501 1.501 1.501 S
1.501 4.530 4.530 S
4.530 1.501 4.530 S
4.530 4.530 1.501 S
```

Calculated values
The total magnetic moment is 0.00 Bohr magnetons per cell. As for the space-group type: P-43m (215).

What should be chosen as the least stable of them? Choose (b).